No. 1
## CuMoAs2 (meta-GGA SCAN)

Data for a crystal of CuMoAs2 relaxed with PBEsol.

Values from the calculation:
Total energy   -89.8 eV per formula unit
Energy relative to the elements   0.17 eV/atom
Relative energy among the computed polymorphs   0.210 eV/atom

Cell lengths 3.476, 4.524, 7.464 Å; angles 90.00, 90.00, 90.00 degrees
Space group Immm (No. 71)
Unique sites:
Cu 0.000 0.000 0.000 x2
Mo 0.000 0.000 0.500 x2
As 0.000 0.500 0.273 x4

***

No. 2
## Te2AuCl (meta-GGA SCAN)

Data for a crystal of Te2AuCl relaxed with PBEsol.

Values from the calculation:
Energy relative to the elements, uncorrected   0.051 eV per atom
Total energy   -151.4 eV per formula unit

Cell lengths 4.906, 4.906, 18.846 Å; angles 90.00, 90.00, 90.00 degrees
Space group I-42d (No. 122)
Unique sites:
Te 0.157 0.250 0.125 x8
Au 0.000 0.000 0.000 x4
Cl 0.000 0.000 0.500 x4

***

- The lowest total energy belongs to which entry?
  Te2AuCl

***

- The highest total energy belongs to which entry?
  CuMoAs2

***

- Number 2 is which compound?
  Te2AuCl

***

- Which value of total energy does entry 1 give?
  -89.8 eV per formula unit